A relaxed structure of ZrRhSe3. Source: the Alexandria database, functional PBE-GGA.

Calculated values
The uncorrected formation energy is 30 meV per atom. As for the energy above the most stable polymorph in this dataset: 0.000 eV/atom. The total energy comes out at -5.240 eV/atom.

Cell lengths 4.8149, 4.8149, 4.8149 Å; angles 90.00, 90.00, 90.00 degrees
Space group Pm-3m (No. 221)
Unique sites:
Zr 0.0000 0.0000 0.0000 x1
Rh 0.5000 0.5000 0.5000 x1
Se 0.0000 0.5000 0.5000 x3